Entry 1:
{
  "formula": "La2Pm5Pr12",
  "functional": "GGA-PBE",
  "state": "relaxed",
  "lattice": [[9.4778, 0.0000, 0.0000], [-4.7389, 11.6571, -1.8457], [0.0000, -5.4896, 7.1117]],
  "species": ["La", "La", "Pm", "Pm", "Pm", "Pm", "Pm", "Pr", "Pr", "Pr", "Pr", "Pr", "Pr", "Pr", "Pr", "Pr", "Pr", "Pr", "Pr"],
  "frac_coords": [[0.6660, 0.0000, 0.0000], [0.3340, 0.0000, 0.0000], [0.2866, 0.5732, 0.6141], [0.2324, 0.4649, 0.8992], [0.0000, 0.0000, 0.5000], [0.7676, 0.5351, 0.1008], [0.7134, 0.4268, 0.3859], [0.0705, 0.1410, 0.2619], [0.0324, 0.7042, 0.9464], [0.6717, 0.7042, 0.9464], [0.1701, 0.7353, 0.4205], [0.5653, 0.7353, 0.4205], [0.5593, 0.1186, 0.7712], [0.4407, 0.8814, 0.2288], [0.8299, 0.2646, 0.5795], [0.4347, 0.2646, 0.5795], [0.9676, 0.2958, 0.0536], [0.3283, 0.2958, 0.0536], [0.9295, 0.8590, 0.7381]],
  "e_tot_ev_per_atom": -4.67,
  "e_form_ev_per_atom": 0.1178,
  "space_group": "No. 12",
  "magmom_total_mub_per_atom": 0.0000,
  "mass_density_g_cm3": 6.49,
  "relative_energy_mev_per_atom": 9
}


Entry 2:
{
  "formula": "La5Pm8Pr",
  "functional": "GGA-PBE",
  "state": "relaxed",
  "lattice": [[8.2912, 0.0000, -2.5741], [-4.2679, 6.9167, -3.0520], [0.2445, 0.0000, 8.6781]],
  "species": ["La", "La", "La", "La", "La", "Pm", "Pm", "Pm", "Pm", "Pm", "Pm", "Pm", "Pm", "Pr"],
  "frac_coords": [[0.0338, 0.3219, 0.1413], [0.8587, 0.8925, 0.1807], [0.8193, 0.6781, 0.7119], [0.5000, 0.0000, 0.5000], [0.2881, 0.1075, 0.9662], [0.1819, 0.7431, 0.0775], [0.9225, 0.1043, 0.6655], [0.7176, 0.2496, 0.3194], [0.6806, 0.3982, 0.9302], [0.5320, 0.6018, 0.2824], [0.5612, 0.8957, 0.8181], [0.3345, 0.2569, 0.4388], [0.0698, 0.7504, 0.4680], [0.2500, 0.5000, 0.7500]],
  "e_tot_ev_per_atom": -4.61,
  "e_form_ev_per_atom": 0.2086,
  "space_group": "No. 82",
  "magmom_total_mub_per_atom": 0.0000,
  "mass_density_g_cm3": 6.60
}


Entry 3:
{
  "formula": "La2Pm4Pr3",
  "functional": "GGA-PBE",
  "state": "relaxed",
  "lattice": [[-0.7484, -5.8852, -0.3262], [4.5099, 2.1862, 4.3208], [-13.3665, 1.7238, -0.4160]],
  "species": ["La", "La", "Pm", "Pm", "Pm", "Pm", "Pr", "Pr", "Pr"],
  "frac_coords": [[0.7335, 0.4669, 0.2995], [0.2665, 0.5331, 0.7005], [0.7210, 0.4419, 0.0406], [0.2790, 0.5581, 0.9594], [0.8580, 0.7159, 0.6309], [0.1420, 0.2841, 0.3691], [0.5713, 0.1425, 0.6885], [0.0000, 0.0000, 0.0000], [0.4287, 0.8575, 0.3115]],
  "e_tot_ev_per_atom": -4.72,
  "e_form_ev_per_atom": 0.0827,
  "space_group": "No. 12",
  "magmom_total_mub_per_atom": 0.0000,
  "mass_density_g_cm3": 6.58,
  "relative_energy_mev_per_atom": 23
}


Entry 4:
{
  "formula": "La5Pm3Pr",
  "functional": "GGA-PBE",
  "state": "relaxed",
  "lattice": [[-0.2505, 0.1367, -6.6576], [-2.6456, -11.2876, 3.2028], [-6.6364, 9.4986, 0.4447]],
  "species": ["La", "La", "La", "La", "La", "La", "La", "La", "La", "La", "Pm", "Pm", "Pm", "Pm", "Pm", "Pm", "Pr", "Pr"],
  "frac_coords": [[0.4064, 0.0000, 0.7500], [0.6522, 0.6606, 0.0231], [0.8596, 0.3365, 0.1235], [0.3478, 0.3394, 0.9769], [0.5230, 0.6635, 0.3765], [0.5936, 0.0000, 0.2500], [0.0084, 0.6606, 0.5231], [0.9916, 0.3394, 0.4769], [0.4770, 0.3365, 0.6235], [0.1404, 0.6635, 0.8765], [0.0000, 0.0000, 0.0000], [0.4578, 0.3226, 0.3075], [0.0000, 0.0000, 0.5000], [0.5422, 0.6774, 0.6925], [0.8649, 0.3226, 0.8075], [0.1351, 0.6774, 0.1925], [0.8659, 0.0000, 0.7500], [0.1341, 0.0000, 0.2500]],
  "e_tot_ev_per_atom": -4.63,
  "e_form_ev_per_atom": 0.2252,
  "space_group": "No. 15",
  "magmom_total_mub_per_atom": 0.0000,
  "mass_density_g_cm3": 6.28,
  "relative_energy_mev_per_atom": 0
}


Entry 5:
{
  "formula": "La2PmPr",
  "functional": "GGA-PBE",
  "state": "relaxed",
  "lattice": [[-2.3388, -1.3917, -2.5335], [-2.0651, -2.9823, 0.8161], [-10.2420, 5.7505, 3.5675]],
  "species": ["Pr", "La", "La", "Pm"],
  "frac_coords": [[0.0000, 0.0000, 0.0000], [0.7507, 0.7507, 0.7478], [0.2493, 0.2493, 0.2522], [0.5000, 0.5000, 0.5000]],
  "e_tot_ev_per_atom": -4.84,
  "e_form_ev_per_atom": 0.0104,
  "space_group": "No. 166",
  "magmom_total_mub_per_atom": 0.0000,
  "mass_density_g_cm3": 6.47,
  "relative_energy_mev_per_atom": 1
}


Entry 6:
{
  "formula": "LaPmPr5",
  "functional": "GGA-PBE",
  "state": "relaxed",
  "lattice": [[-7.0006, -0.0178, 0.8361], [-3.8287, -5.3687, -2.4952], [-5.4042, -8.9658, 9.2559]],
  "species": ["La", "La", "Pm", "Pm", "Pr", "Pr", "Pr", "Pr", "Pr", "Pr", "Pr", "Pr", "Pr", "Pr"],
  "frac_coords": [[0.7163, 0.2837, 0.7500], [0.2837, 0.7163, 0.2500], [0.0000, 0.0000, 0.0000], [0.0000, 0.0000, 0.5000], [0.1548, 0.4049, 0.7488], [0.6507, 0.6958, 0.5009], [0.4049, 0.1548, 0.2488], [0.1561, 0.8439, 0.7500], [0.3042, 0.3493, 0.9991], [0.6958, 0.6507, 0.0009], [0.8439, 0.1561, 0.2500], [0.5951, 0.8452, 0.7512], [0.3493, 0.3042, 0.4991], [0.8452, 0.5951, 0.2512]],
  "e_tot_ev_per_atom": -4.65,
  "e_form_ev_per_atom": 0.1474,
  "space_group": "No. 15",
  "magmom_total_mub_per_atom": 0.0000,
  "mass_density_g_cm3": 6.46,
  "relative_energy_mev_per_atom": 0
}


Entry 7:
{
  "formula": "La2Pm12Pr5",
  "functional": "GGA-PBE",
  "state": "relaxed",
  "lattice": [[9.4289, 0.0000, 0.0000], [-4.7145, 11.5574, -1.9741], [0.0000, -5.3601, 7.1402]],
  "species": ["La", "La", "Pm", "Pm", "Pm", "Pm", "Pm", "Pm", "Pm", "Pm", "Pm", "Pm", "Pm", "Pm", "Pr", "Pr", "Pr", "Pr", "Pr"],
  "frac_coords": [[0.6682, 0.0000, 0.0000], [0.3318, 0.0000, 0.0000], [0.0684, 0.1368, 0.2596], [0.0327, 0.7067, 0.9495], [0.6740, 0.7067, 0.9495], [0.1723, 0.7356, 0.4168], [0.5633, 0.7356, 0.4168], [0.5575, 0.1150, 0.7695], [0.4425, 0.8850, 0.2305], [0.8277, 0.2644, 0.5832], [0.4367, 0.2644, 0.5832], [0.9673, 0.2933, 0.0505], [0.3260, 0.2933, 0.0505], [0.9316, 0.8632, 0.7404], [0.2853, 0.5707, 0.6072], [0.2330, 0.4661, 0.8991], [0.0000, 0.0000, 0.5000], [0.7670, 0.5339, 0.1009], [0.7147, 0.4293, 0.3928]],
  "e_tot_ev_per_atom": -4.66,
  "e_form_ev_per_atom": 0.1209,
  "space_group": "No. 12",
  "magmom_total_mub_per_atom": 0.0000,
  "mass_density_g_cm3": 6.66
}


Entry 8:
{
  "formula": "LaPm2Pr2",
  "functional": "GGA-PBE",
  "state": "relaxed",
  "lattice": [[6.3179, 0.5744, -1.1418], [-2.2133, 5.7338, -1.9429], [0.3808, -0.7021, 9.7943]],
  "species": ["La", "La", "Pm", "Pm", "Pm", "Pm", "Pr", "Pr", "Pr", "Pr"],
  "frac_coords": [[0.7224, 0.9724, 0.2500], [0.2776, 0.0276, 0.7500], [0.9005, 0.2500, 0.0218], [0.2282, 0.3787, 0.4782], [0.0995, 0.7500, 0.9782], [0.7718, 0.6213, 0.5218], [0.4492, 0.3630, 0.1473], [0.2157, 0.8018, 0.3527], [0.5508, 0.6370, 0.8527], [0.7843, 0.1982, 0.6473]],
  "e_tot_ev_per_atom": -4.69,
  "e_form_ev_per_atom": 0.1118,
  "space_group": "No. 15",
  "magmom_total_mub_per_atom": 0.0000,
  "mass_density_g_cm3": 6.58,
  "relative_energy_mev_per_atom": 8
}


Entry 9:
{
  "formula": "LaPm6Pr2",
  "functional": "GGA-PBE",
  "state": "relaxed",
  "lattice": [[-0.7159, -2.5723, 2.2415], [7.7228, -5.5102, -3.8568], [1.6713, 6.3696, 7.8432]],
  "species": ["La", "Pm", "Pm", "Pm", "Pm", "Pm", "Pm", "Pr", "Pr"],
  "frac_coords": [[0.0000, 0.0000, 0.0000], [0.2253, 0.0000, 0.3381], [0.2253, 0.6619, 0.6619], [0.7747, 0.0000, 0.6619], [0.7747, 0.6619, 0.0000], [0.7747, 0.3381, 0.3381], [0.2253, 0.3381, 0.0000], [0.5000, 0.6667, 0.3333], [0.5000, 0.3333, 0.6667]],
  "e_tot_ev_per_atom": -4.63,
  "e_form_ev_per_atom": 0.1433,
  "space_group": "No. 162",
  "magmom_total_mub_per_atom": 0.0249,
  "mass_density_g_cm3": 6.77,
  "relative_energy_mev_per_atom": 93
}